# 1
{"formula": "Sr2ZrRe", "functional": "PBE", "state": "relaxed", "volume_a3_per_fu": 107, "de_polymorph_mev_per_atom": 978, "total_magnetization_mub_per_fu": 0.0, "dos_at_fermi_per_ev_atom": 1.071, "lattice_angstrom": [[7.541, 0.000, 0.000], [0.000, 7.541, 0.000], [0.000, 0.000, 7.541]], "species": ["Sr", "Sr", "Sr", "Sr", "Sr", "Sr", "Sr", "Sr", "Zr", "Zr", "Zr", "Zr", "Re", "Re", "Re", "Re"], "fractional_positions": [[0.250, 0.250, 0.250], [0.250, 0.250, 0.750], [0.250, 0.750, 0.250], [0.250, 0.750, 0.750], [0.750, 0.250, 0.250], [0.750, 0.250, 0.750], [0.750, 0.750, 0.250], [0.750, 0.750, 0.750], [0.000, 0.000, 0.000], [0.000, 0.500, 0.500], [0.500, 0.000, 0.500], [0.500, 0.500, 0.000], [0.000, 0.000, 0.500], [0.000, 0.500, 0.000], [0.500, 0.000, 0.000], [0.500, 0.500, 0.500]]}

=====

# 2
{"formula": "SrZrRe2", "functional": "PBE", "state": "relaxed", "volume_a3_per_fu": 77, "de_polymorph_mev_per_atom": 403, "total_magnetization_mub_per_fu": 0.0, "dos_at_fermi_per_ev_atom": 1.132, "lattice_angstrom": [[6.035, 0.000, 0.000], [0.000, 9.705, 0.000], [-0.864, 0.000, 2.646]], "species": ["Sr", "Sr", "Zr", "Zr", "Re", "Re", "Re", "Re"], "fractional_positions": [[0.000, 0.000, 0.000], [0.500, 0.500, 0.000], [0.000, 0.500, 0.000], [0.500, 0.000, 0.000], [0.250, 0.250, 0.500], [0.250, 0.750, 0.500], [0.750, 0.250, 0.500], [0.750, 0.750, 0.500]]}

=====

# 3
{"formula": "SrZrRe", "functional": "PBE", "state": "relaxed", "volume_a3_per_fu": 67, "de_polymorph_mev_per_atom": 394, "total_magnetization_mub_per_fu": 0.0, "dos_at_fermi_per_ev_atom": 1.202, "lattice_angstrom": [[4.963, 0.000, 0.000], [-2.481, 4.298, 0.000], [0.000, 0.000, 3.119]], "species": ["Sr", "Zr", "Re"], "fractional_positions": [[0.000, 0.000, 0.000], [0.667, 0.333, 0.407], [0.333, 0.667, 0.629]]}

=====

# 4
{"formula": "SrZrRe4", "functional": "PBE", "state": "relaxed", "volume_a3_per_fu": 112, "total_magnetization_mub_per_fu": 0.0, "dos_at_fermi_per_ev_atom": 0.701, "lattice_angstrom": [[0.000, 3.829, 3.829], [3.829, 0.000, 3.829], [3.829, 3.829, 0.000]], "species": ["Sr", "Zr", "Re", "Re", "Re", "Re"], "fractional_positions": [[0.000, 0.000, 0.000], [0.750, 0.750, 0.750], [0.375, 0.375, 0.375], [0.375, 0.375, 0.874], [0.375, 0.874, 0.375], [0.874, 0.375, 0.375]]}

=====

Number 1: raw total energy -4.775 eV/atom. Number 2: raw total energy -7.913 eV/atom. Number 3: raw total energy -6.774 eV/atom. Number 4: raw total energy -9.820 eV/atom.